[1]
This record from the Alexandria database describes a relaxed structure of Pr2Dy4Er3. The functional is PBE-GGA.

abc: 16.239 11.641 6.153
angles: 90.00 96.23 90.00
Space group C2/c (No. 15)
Unique sites:
Pr1 0.122 0.145 0.321
Dy1 0.047 0.360 0.015
Dy2 0.216 0.139 0.848
Er1 0.000 0.099 0.750
Er2 0.165 0.402 0.595

Uncorrected energy, eV/atom: -4.536
Total magnetization, μB/cell: 0.0

=====

[2]
This record from the Alexandria database describes a relaxed structure of CePa2Sn. The functional is PBE-GGA.

abc: 4.038 4.038 6.564
angles: 90.00 90.00 90.00
Space group P4/mmm (No. 123)
Unique sites:
Ce1 0.000 0.000 0.000
Pa1 0.500 0.500 0.272
Sn1 0.000 0.000 0.500

Uncorrected energy, eV/atom: -7.232
Total magnetization, μB/cell: 2.9

=====

[3]
This record from the Alexandria database describes a relaxed structure of CsAgTeIrSe. The functional is PBE-GGA.

abc: 3.935 6.757 6.830
angles: 68.43 73.35 89.40
Space group P1 (No. 1)
Unique sites:
Cs1 0.000 0.000 0.000
Ag1 0.472 0.503 0.073
Te1 0.693 0.643 0.634
Ir1 0.262 0.470 0.502
Se1 0.818 0.294 0.396

Uncorrected formation energy, meV/atom: -236
Total magnetization, μB/cell: 0.0

=====

[4]
This record from the Alexandria database describes a relaxed structure of LiIn2Sb. The functional is PBE-GGA.

abc: 7.459 7.459 7.459
angles: 90.00 90.00 90.00
Space group F-43m (No. 216)
Unique sites:
Li1 0.000 0.000 0.000
In1 0.000 0.000 0.500
In2 0.250 0.250 0.250
Sb1 0.250 0.250 0.750

Uncorrected formation energy, meV/atom: -107
Total magnetization, μB/cell: 0.0

=====

[5]
This record from the Alexandria database describes a relaxed structure of CsK12Au7. The functional is PBE-GGA.

abc: 20.8185 20.8185 7.0216
angles: 90.00 90.00 120.00
Space group R-3 (No. 148, hexagonal axes)
Unique sites:
Cs1 0.0000 0.0000 0.0000
K1 0.0288 0.5890 0.6691
K2 0.0484 0.1718 0.3281
Au1 0.0000 0.0000 0.5000
Au2 0.0542 0.1879 0.8240

Uncorrected energy, eV/atom: -2.057
Total magnetization, μB/cell: 0.0

=====

[6]
This record from the Alexandria database describes a relaxed structure of Ho4SbTe2. The functional is PBE-GGA.

abc: 4.165 13.734 14.554
angles: 90.00 90.00 90.00
Space group Cmcm (No. 63)
Unique sites:
Ho1 0.000 0.000 0.000
Ho2 0.000 0.288 0.133
Ho3 0.000 0.428 0.750
Sb1 0.000 0.090 0.750
Te1 0.000 0.355 0.560

Uncorrected formation energy, meV/atom: -955
Total magnetization, μB/cell: 0.0

=====

[7]
This record from the Alexandria database describes a relaxed structure of NiPd9Pb2. The functional is PBE-GGA.

abc: 4.065 4.065 11.952
angles: 90.00 90.00 90.00
Space group P4/mmm (No. 123)
Unique sites:
Ni1 0.000 0.000 0.000
Pd1 0.000 0.500 0.152
Pd2 0.000 0.500 0.500
Pd3 0.500 0.500 0.000
Pd4 0.500 0.500 0.327
Pb1 0.000 0.000 0.325

Uncorrected energy, eV/atom: -5.140
Total magnetization, μB/cell: 1.7

=====

[8]
This record from the Alexandria database describes a relaxed structure of NdDySc2P4. The functional is PBE-GGA.

abc: 6.781 3.934 6.810
angles: 90.00 109.57 90.00
Space group P2/m (No. 10)
Unique sites:
Nd1 0.000 0.000 0.000
Dy1 0.000 0.500 0.500
Sc1 0.500 0.000 0.500
Sc2 0.500 0.500 0.000
P1 0.268 0.000 0.752
P2 0.272 0.500 0.262

Uncorrected energy, eV/atom: -6.959
Total magnetization, μB/cell: 0.0

=====

[9]
This record from the Alexandria database describes a relaxed structure of LiAcPd2. The functional is PBE-GGA.

abc: 4.611 4.611 4.004
angles: 90.00 90.00 90.00
Space group P4/mmm (No. 123)
Unique sites:
Li1 0.000 0.000 0.000
Ac1 0.500 0.500 0.000
Pd1 0.000 0.500 0.500

Uncorrected energy, eV/atom: -4.635
Total magnetization, μB/cell: 0.0

=====

[10]
This record from the Alexandria database describes a relaxed structure of Sm2DyHo3Er6. The functional is PBE-GGA.

abc: 6.122 10.593 11.690
angles: 90.00 100.01 90.00
Space group C2/m (No. 12)
Unique sites:
Sm1 0.000 0.167 0.000
Dy1 0.000 0.500 0.000
Ho1 0.000 0.000 0.500
Ho2 0.000 0.333 0.500
Er1 0.248 0.500 0.748
Er2 0.249 0.167 0.748

Uncorrected energy, eV/atom: -4.576
Total magnetization, μB/cell: 0.0

=====

[11]
This record from the Alexandria database describes a relaxed structure of CaFe2Ag. The functional is PBE-GGA.

abc: 4.322 4.322 7.487
angles: 90.00 90.00 90.00
Space group I-4m2 (No. 119)
Unique sites:
Ca1 0.000 0.000 0.000
Fe1 0.000 0.000 0.500
Fe2 0.000 0.500 0.750
Ag1 0.000 0.500 0.250

Uncorrected energy, eV/atom: -4.968
Total magnetization, μB/cell: 10.2

=====

[12]
This record from the Alexandria database describes a relaxed structure of NaTlCd2. The functional is PBE-GGA.

abc: 3.254 5.428 12.556
angles: 90.00 90.00 90.00
Space group Immm (No. 71)
Unique sites:
Na1 0.000 0.000 0.000
Tl1 0.000 0.000 0.500
Cd1 0.000 0.000 0.256

Uncorrected energy, eV/atom: -1.307
Total magnetization, μB/cell: 0.0

=====

[13]
This record from the Alexandria database describes a relaxed structure of Cd2CoRh. The functional is PBE-GGA.

abc: 4.220 4.220 7.345
angles: 90.00 90.00 90.00
Space group I4/mmm (No. 139)
Unique sites:
Cd1 0.000 0.500 0.250
Co1 0.000 0.000 0.000
Rh1 0.000 0.000 0.500

Uncorrected energy, eV/atom: -3.904
Total magnetization, μB/cell: 3.1

=====

[14]
This record from the Alexandria database describes a relaxed structure of CaHo2Mg5. The functional is PBE-GGA.

abc: 4.949 4.949 17.561
angles: 90.00 90.00 90.00
Space group I4/mmm (No. 139)
Unique sites:
Ca1 0.000 0.000 0.000
Ho1 0.000 0.000 0.256
Mg1 0.000 0.000 0.500
Mg2 0.000 0.500 0.124

Uncorrected energy, eV/atom: -2.434
Total magnetization, μB/cell: 0.5

=====

[15]
This record from the Alexandria database describes a relaxed structure of FeAsSe2Cl. The functional is PBE-GGA.

abc: 4.990 4.990 4.824
angles: 90.00 90.00 90.00
Space group P4/mmm (No. 123)
Unique sites:
Fe1 0.000 0.000 0.000
As1 0.500 0.500 0.000
Se1 0.000 0.500 0.500
Cl1 0.500 0.500 0.500

Uncorrected formation energy, meV/atom: 1296
Total magnetization, μB/cell: 5.0

=====

[16]
This record from the Alexandria database describes a relaxed structure of BaEuPb. The functional is PBE-GGA.

abc: 8.242 8.242 8.242
angles: 90.00 90.00 90.00
Space group F-43m (No. 216)
Unique sites:
Ba1 0.000 0.000 0.000
Eu1 0.000 0.000 0.500
Pb1 0.250 0.250 0.750

Uncorrected energy, eV/atom: -5.717
Total magnetization, μB/cell: 28.0

=====

[17]
This record from the Alexandria database describes a relaxed structure of Cu3Ru. The functional is PBE-GGA.

abc: 4.431 4.431 2.592
angles: 90.00 90.00 90.00
Space group P4/mmm (No. 123)
Unique sites:
Cu1 0.000 0.000 0.000
Cu2 0.000 0.500 0.500
Ru1 0.500 0.500 0.000

Uncorrected energy, eV/atom: -5.147
Total magnetization, μB/cell: 0.0

=====

[18]
This record from the Alexandria database describes a relaxed structure of Na4InHg2. The functional is PBE-GGA.

abc: 5.3350 5.3350 22.4842
angles: 90.00 90.00 120.00
Space group R-3m (No. 166, hexagonal axes)
Unique sites:
Na1 0.0000 0.0000 0.0706
Na2 0.0000 0.0000 0.2218
In1 0.0000 0.0000 0.5000
Hg1 0.0000 0.0000 0.3613

Uncorrected energy, eV/atom: -1.384
Total magnetization, μB/cell: 0.0

=====

[19]
This record from the Alexandria database describes a relaxed structure of La2Pr3In4. The functional is PBE-GGA.

abc: 7.403 16.733 9.606
angles: 90.00 90.00 90.00
Space group Cmce (No. 64)
Unique sites:
La1 0.000 0.108 0.066
Pr1 0.000 0.000 0.500
Pr2 0.250 0.222 0.750
In1 0.000 0.187 0.471
In2 0.250 0.030 0.750

Uncorrected energy, eV/atom: -4.217
Total magnetization, μB/cell: 0.0

=====

[20]
This record from the Alexandria database describes a relaxed structure of Cs2CdHgF. The functional is PBE-GGA.

abc: 5.822 5.822 6.060
angles: 90.00 90.00 90.00
Space group P4/mmm (No. 123)
Unique sites:
Cs1 0.000 0.500 0.000
Cd1 0.000 0.000 0.500
Hg1 0.500 0.500 0.500
F1 0.000 0.000 0.000

Uncorrected formation energy, meV/atom: -972
Total magnetization, μB/cell: 0.0